# 1
Y2ScPaCo2, relaxed, DFT PBE; DFT total energy = -7.392 eV/atom; total moment = 0.0 μB/cell; DOS at the Fermi energy = 13.59 states/eV/cell; formation energy from the elements = -22 kJ per mole of atoms; space group = Ibam
1.0
-1.602 2.856 5.762
-0.311 -5.844 2.810
7.053 1.890 -2.788
Co Pa Sc Y
4 2 2 4
Cartesian
4.960 -0.980 1.865
0.180 -0.118 3.920
4.299 3.062 3.489
0.841 -4.160 2.296
-0.556 -2.208 2.845
-1.357 -0.781 5.726
-1.201 2.142 4.322
-0.400 0.714 1.441
1.343 -2.802 5.573
2.299 -1.306 1.286
2.841 0.207 4.498
3.797 1.704 0.211

---

# 2
Pr2Sm2Dy15, relaxed, DFT PBE; DFT total energy = -4.348 eV/atom; total moment = 0.0 μB/cell; DOS at the Fermi energy = 34.43 states/eV/cell; formation energy from the elements = 27 kJ per mole of atoms; space group = R-3m
1.0
0.866 7.383 4.615
6.768 -2.130 5.120
6.543 3.827 -4.369
Dy Sm Pr
15 2 2
Cartesian
2.647 4.512 4.767
8.503 2.182 1.169
3.272 1.914 -2.185
5.673 6.898 4.196
6.611 2.029 -1.505
4.986 0.741 4.968
8.495 2.351 4.438
8.387 5.198 -0.098
2.579 6.310 1.903
0.433 3.692 2.307
5.789 3.882 5.463
6.700 -0.332 2.256
3.384 -1.065 2.560
4.830 4.900 -1.658
5.682 6.730 0.927
9.553 6.119 3.615
4.624 2.962 1.750
12.831 8.219 4.856
1.346 0.862 0.509

---

# 3
LiScSbRu, relaxed, DFT PBE; DFT total energy = -5.981 eV/atom; formation energy from raw total energies = -219.9 kJ/mol of formula units; total moment = 0.0 μB/cell; DOS at the Fermi energy = 4.38 states/eV/cell; space group = F-43m
1.0
4.558 0.000 0.000
2.279 3.947 0.000
2.279 1.316 3.721
Sb Li Ru Sc
1 1 1 1
Cartesian
0.000 0.000 0.000
2.279 1.316 0.930
6.836 3.947 2.791
4.558 2.631 1.861

---

# 4
LaMnTc2, relaxed, DFT PBE; DFT total energy = -8.476 eV/atom; total moment = 3.8 μB/cell; DOS at the Fermi energy = 3.33 states/eV/cell; formation energy from the elements = 22 kJ per mole of atoms; offset from the most stable computed form = 0.06 eV/f.u.; space group = P4mm
1.0
-2.735 0.599 -1.349
-1.445 -0.507 2.705
0.755 7.533 1.814
Tc Mn La
2 1 1
Cartesian
0.008 0.080 0.019
-1.947 1.473 1.021
-1.479 6.149 2.148
0.370 3.690 0.889

---

# 5
Tm3ThRh4, relaxed, DFT PBE; DFT total energy = -7.193 eV/atom; total moment = 0.0 μB/cell; DOS at the Fermi energy = 5.77 states/eV/cell; formation energy from the elements = -88 kJ per mole of atoms; space group = R-3m
1.0
-3.262 -3.588 0.401
1.163 -4.092 2.362
-3.339 0.595 7.687
Tm Rh Th
3 4 1
Cartesian
-2.719 -3.543 5.225
-4.044 -5.356 7.747
-1.395 -1.729 2.703
-3.710 -2.358 7.765
-3.079 -6.509 5.274
-2.360 -0.576 5.176
-1.729 -4.727 2.685
0.000 0.000 0.000

---

# 6
TbPr3In4, relaxed, DFT PBE; DFT total energy = -4.233 eV/atom; total moment = 0.0 μB/cell; DOS at the Fermi energy = 4.59 states/eV/cell; formation energy from the elements = -47 kJ per mole of atoms; offset from the most stable computed form = 0.00 eV/f.u.; space group = P4/mmm
1.0
3.860 0.000 0.000
0.000 3.860 0.000
0.000 0.000 15.588
In Tb Pr
4 1 3
Cartesian
0.000 0.000 9.788
0.000 0.000 13.791
0.000 0.000 5.801
0.000 0.000 1.797
1.930 1.930 0.000
1.930 1.930 7.794
1.930 1.930 11.779
1.930 1.930 3.810

---

# 7
Tl3TeAs, relaxed, DFT PBE; DFT total energy = -2.409 eV/atom; formation energy from raw total energies = 274.7 kJ/mol of formula units; total moment = 1.6 μB/cell; DOS at the Fermi energy = 5.78 states/eV/cell; offset from the most stable computed form = 3.50 eV/f.u.; space group = Pm-3m
1.0
6.186 0.000 0.000
0.000 6.186 0.000
0.000 0.000 6.186
Tl Te As
3 1 1
Cartesian
0.000 3.093 0.000
3.093 0.000 0.000
0.000 0.000 3.093
0.000 0.000 0.000
3.093 3.093 3.093

---

# 8
Tb2NdEr6Sc3, relaxed, DFT PBE; DFT total energy = -4.989 eV/atom; total moment = 0.0 μB/cell; DOS at the Fermi energy = 17.89 states/eV/cell; formation energy from the elements = 4 kJ per mole of atoms; space group = C2/m
1.0
6.028 0.000 0.018
-3.012 5.221 0.018
-1.038 -1.797 11.256
Er Nd Tb Sc
6 1 2 3
Cartesian
2.990 1.695 8.353
-1.011 1.731 2.940
2.003 3.467 2.959
-0.024 -0.042 8.334
-0.026 3.436 8.353
2.004 -0.011 2.940
0.000 0.000 0.000
3.013 1.741 0.018
0.002 3.480 0.018
4.000 -0.026 5.646
0.989 1.713 5.646
-2.022 3.452 5.646

---

# 9
SrNdZnSi, relaxed, DFT PBE; DFT total energy = -3.568 eV/atom; formation energy from raw total energies = -108.5 kJ/mol of formula units; total moment = 0.0 μB/cell; DOS at the Fermi energy = 3.43 states/eV/cell; space group = F-43m
1.0
5.278 0.000 0.000
2.639 4.571 0.000
2.639 1.524 4.309
Zn Si Sr Nd
1 1 1 1
Cartesian
7.917 4.571 3.232
2.639 1.524 1.077
5.278 3.047 2.155
0.000 0.000 0.000

---

# 10
Ce2TaSn, relaxed, DFT PBE; DFT total energy = -6.695 eV/atom; total moment = 0.0 μB/cell; DOS at the Fermi energy = 7.64 states/eV/cell; formation energy from the elements = 23 kJ per mole of atoms; space group = R-3m
1.0
-1.058 1.672 2.413
-2.972 0.950 0.056
-4.317 -8.751 6.189
Ce Sn Ta
2 1 1
Cartesian
-3.576 -6.353 4.852
-4.771 0.224 3.806
-4.173 -3.064 4.329
0.000 0.000 0.000